{"formula": "CoTcPt2", "functional": "meta-GGA SCAN", "state": "single point on PBEsol structure", "n_ef_per_ev_atom": 0.880, "delta_e_f_mev_per_atom": -148.8, "space_group": "Pmmm, No. 47", "cell": [[2.674, 0.000, 0.000], [0.000, 3.838, 0.000], [0.000, 0.000, 5.285]], "species": ["Co", "Tc", "Pt", "Pt"], "fractional_positions": [[0.500, 0.500, 0.500], [0.500, 0.500, 0.000], [0.000, 0.000, 0.748], [0.000, 0.000, 0.252]]}

=====

{"formula": "MnReSnRu2", "functional": "meta-GGA SCAN", "state": "single point on PBEsol structure", "n_ef_per_ev_atom": 0.704, "delta_e_f_mev_per_atom": 1355.1, "space_group": "P4/mmm, No. 123", "cell": [[4.637, 0.000, 0.000], [0.000, 4.637, 0.000], [0.000, 0.000, 4.984]], "species": ["Re", "Mn", "Sn", "Ru", "Ru"], "fractional_positions": [[0.000, 0.000, 0.000], [0.500, 0.500, 0.500], [0.000, 0.000, 0.500], [0.000, 0.500, 0.000], [0.500, 0.000, 0.000]]}

=====

{"formula": "KCa2Al", "functional": "meta-GGA SCAN", "state": "single point on PBEsol structure", "n_ef_per_ev_atom": 0.902, "delta_e_f_mev_per_atom": 237.2, "space_group": "F-43m, No. 216", "cell": [[5.729, 0.000, 0.000], [2.864, 4.961, 0.000], [2.864, 1.654, 4.678]], "species": ["Ca", "Ca", "K", "Al"], "fractional_positions": [[0.000, 0.000, 0.000], [0.750, 0.750, 0.750], [0.250, 0.250, 0.250], [0.500, 0.500, 0.500]]}

=====

{"formula": "La3Mn2Sb3O14", "functional": "meta-GGA SCAN", "state": "single point on PBEsol structure", "n_ef_per_ev_atom": 0.013, "space_group": "R-3m, No. 166", "formation_energy_uncorrected_ev_per_atom": -2.530, "cell": [[7.327, -0.017, -0.012], [3.449, 6.464, -0.012], [3.449, 2.064, 6.126]], "species": ["La", "La", "La", "Mn", "Mn", "Sb", "Sb", "Sb", "O", "O", "O", "O", "O", "O", "O", "O", "O", "O", "O", "O", "O", "O"], "fractional_positions": [[0.500, 0.500, 0.000], [0.500, 0.000, 0.500], [0.000, 0.500, 0.500], [0.000, 0.000, 0.000], [0.500, 0.500, 0.500], [0.000, 0.000, 0.500], [0.000, 0.500, 0.000], [0.500, 0.000, 0.000], [0.612, 0.612, 0.612], [0.388, 0.388, 0.388], [0.923, 0.320, 0.320], [0.320, 0.320, 0.923], [0.320, 0.923, 0.320], [0.077, 0.680, 0.680], [0.680, 0.680, 0.077], [0.680, 0.077, 0.680], [0.348, 0.911, 0.911], [0.911, 0.911, 0.348], [0.911, 0.348, 0.911], [0.652, 0.089, 0.089], [0.089, 0.089, 0.652], [0.089, 0.652, 0.089]]}

=====

Calculated DFT total energy (eV for the cell shown), listed in the same order as above: -193.35, -188.15, -34.46, -420.51